VASP calculation (PBE-GGA) on MnCu2Ru after structural relaxation.

Cell lengths 2.868, 4.195, 8.614 Å; angles 90.00, 90.00, 90.00 degrees
Space group Immm (No. 71)
Inequivalent atoms, fractional coordinates:
Mn 0.000 0.000 0.000 [2 per cell]
Cu 0.000 0.500 0.255 [4 per cell]
Ru 0.000 0.000 0.500 [2 per cell]

=====

VASP calculation (PBE-GGA) on MnCu2Ru after structural relaxation.

Cell lengths 5.907, 5.907, 5.907 Å; angles 90.00, 90.00, 90.00 degrees
Space group F-43m (No. 216)
Inequivalent atoms, fractional coordinates:
Mn 0.000 0.000 0.000 [4 per cell]
Cu 0.000 0.000 0.500 [4 per cell]
Cu 0.250 0.250 0.250 [4 per cell]
Ru 0.250 0.250 0.750 [4 per cell]

=====

VASP calculation (PBE-GGA) on MnCu2Ru after structural relaxation.

Cell lengths 2.744, 3.484, 5.353 Å; angles 90.00, 90.00, 90.00 degrees
Space group Pmm2 (No. 25)
Inequivalent atoms, fractional coordinates:
Mn 0.000 0.000 0.000 [1 per cell]
Cu 0.000 0.000 0.504 [1 per cell]
Cu 0.500 0.500 0.730 [1 per cell]
Ru 0.500 0.500 0.226 [1 per cell]

=====

VASP calculation (PBE-GGA) on Mn2CuRu after structural relaxation.

Cell lengths 8.577, 2.641, 4.451 Å; angles 90.00, 100.09, 90.00 degrees
Space group C2/m (No. 12)
Inequivalent atoms, fractional coordinates:
Mn 0.249 0.000 0.245 [4 per cell]
Cu 0.000 0.500 0.000 [2 per cell]
Ru 0.000 0.000 0.500 [2 per cell]

=====

The evaluated calculated formation energy for the records listed, in turn: 216 223 136 243 meV/atom.
The evaluated size of the total moment for the records listed, in turn: 0.891 0.742 0.619 0.974 μB/atom.